A relaxed ScBAs2Br crystal, computed with PBE.

Summary:
The formation energy from raw total energies comes out at 6.8 kcal/mol of atoms. The magnetic moment is 0.000 μB per formula unit. The final energy is -4.503 eV per atom. The density of states at the Fermi level is 3.2 states/eV/f.u. As for the polymorph energy (0 for the lowest one): 0.0 kJ/mol of formula units.

abc: 4.333 4.333 5.120
angles: 90.00 90.00 90.00
Positions (direct):
Sc  0.500  0.500  0.500
As  0.000  0.500  0.000
As  0.500  0.000  0.000
B  0.000  0.000  0.000
Br  0.000  0.000  0.500


A relaxed ScBAsBr2 crystal, computed with PBE.

Summary:
The formation energy from raw total energies comes out at 9.5 kcal/mol of atoms. The magnetic moment is 0.402 μB per formula unit. The final energy is -3.790 eV per atom. The density of states at the Fermi level is 4.0 states/eV/f.u. As for the polymorph energy (0 for the lowest one): 58.6 kJ/mol of formula units.

abc: 5.174 5.434 5.174
angles: 90.00 90.00 90.00
Last column: magnetic moment on the atom in μB.
Positions (direct):
Sc  0.000  0.000  0.000  0.00
As  0.000  0.500  0.000  0.15
B  0.500  0.500  0.500  0.00
Br  0.000  0.000  0.500  0.02
Br  0.500  0.000  0.000  0.02


A relaxed ScBAs2Br crystal, computed with PBE.

Summary:
The formation energy from raw total energies comes out at 19.7 kcal/mol of atoms. The magnetic moment is 0.000 μB per formula unit. The final energy is -3.944 eV per atom. The density of states at the Fermi level is 3.8 states/eV/f.u. As for the polymorph energy (0 for the lowest one): 269.7 kJ/mol of formula units.

abc: 5.160 5.160 5.244
angles: 90.00 90.00 90.00
Positions (direct):
Sc  0.000  0.000  0.000
As  0.000  0.500  0.000
As  0.500  0.000  0.000
B  0.500  0.500  0.500
Br  0.000  0.000  0.500


A relaxed ScBAsBr2 crystal, computed with PBE.

Summary:
The formation energy from raw total energies comes out at 6.7 kcal/mol of atoms. The magnetic moment is 0.000 μB per formula unit. The final energy is -3.911 eV per atom. The density of states at the Fermi level is 1.6 states/eV/f.u. As for the polymorph energy (0 for the lowest one): 0.0 kJ/mol of formula units.

abc: 4.539 4.539 4.836
angles: 90.00 90.00 90.00
Positions (direct):
Sc  0.500  0.500  0.500
As  0.000  0.000  0.500
B  0.000  0.000  0.000
Br  0.000  0.500  0.000
Br  0.500  0.000  0.000


A relaxed BAsSe2Br crystal, computed with PBE.

Summary:
The formation energy from raw total energies comes out at 27.0 kcal/mol of atoms. The magnetic moment is 0.000 μB per formula unit. The final energy is -2.821 eV per atom. The density of states at the Fermi level is 4.0 states/eV/f.u. As for the polymorph energy (0 for the lowest one): 196.9 kJ/mol of formula units.

abc: 5.042 5.042 5.304
angles: 90.00 90.00 90.00
Positions (direct):
As  0.000  0.000  0.000
B  0.500  0.500  0.500
Se  0.000  0.500  0.000
Se  0.500  0.000  0.000
Br  0.000  0.000  0.500


A relaxed BAsSe2Br crystal, computed with PBE.

Summary:
The formation energy from raw total energies comes out at 17.6 kcal/mol of atoms. The magnetic moment is 0.000 μB per formula unit. The final energy is -3.229 eV per atom. The density of states at the Fermi level is 1.9 states/eV/f.u. As for the polymorph energy (0 for the lowest one): 0.0 kJ/mol of formula units.

abc: 4.608 4.608 4.454
angles: 90.00 90.00 90.00
Positions (direct):
As  0.500  0.500  0.500
B  0.000  0.000  0.000
Se  0.000  0.500  0.000
Se  0.500  0.000  0.000
Br  0.000  0.000  0.500